A plane-wave DFT calculation with PBE with a Hubbard U was carried out for a relaxed structure of Sr2GdCrO6.

Output
Electronic total energy   -7.8915 eV per atom
Symmetry   Fm-3m, No. 225
Calculated density   5.7 g/cm3
Size of the total moment   6.02 μB per cell
V   139.6 Å³ per cell

Cell: 5.8224 5.8224 5.8224 Å, 60.00 60.00 60.00°
Sites, in units of the cell vectors:
Sr1 0.2500 0.2500 0.2500
Sr2 0.7500 0.7500 0.7500
Gd1 0.0000 0.0000 0.0000
Cr1 0.5000 0.5000 0.5000
O1 0.2708 0.2708 0.7292
O2 0.2708 0.7292 0.2708
O3 0.2708 0.7292 0.7292
O4 0.7292 0.2708 0.2708
O5 0.7292 0.2708 0.7292
O6 0.7292 0.7292 0.2708